[1]
First-principles (PBE) data for a relaxed structure of Ho6Tl2Au, as listed in Alexandria via LeMat-Bulk.

Summary:
- Energy of formation: -0.17 eV/atom
- Space group: Immm (71)

abc: 5.083 7.228 8.794
angles: 114.27 106.81 90.00
Atoms (fractional coordinates):
Ho: 0.840 0.082 0.680
Ho: 0.500 0.235 0.000
Ho: 0.160 0.402 0.320
Ho: 0.160 0.918 0.320
Ho: 0.500 0.765 0.000
Ho: 0.840 0.598 0.680
Au: 0.000 0.000 0.000
Tl: 0.333 0.333 0.665
Tl: 0.667 0.667 0.335

[2]
First-principles (PBE) data for a relaxed structure of KPu4Te5, as listed in Alexandria via LeMat-Bulk.

Summary:
- Space group: C2/m (12)
- Formation energy from raw total energies: -1.0410 eV per atom

abc: 4.488 7.898 10.170
angles: 75.75 77.25 73.50
Atoms (fractional coordinates):
Te: 0.611 0.669 0.109
Te: 0.797 0.093 0.313
Te: 0.203 0.907 0.687
Te: 0.389 0.331 0.891
Te: 0.000 0.500 0.500
Pu: 0.795 0.613 0.798
Pu: 0.205 0.387 0.202
Pu: 0.596 0.207 0.601
Pu: 0.404 0.793 0.399
K: 0.000 0.000 0.000

[3]
First-principles (PBE) data for a relaxed structure of AlCo2TcH, as listed in Alexandria via LeMat-Bulk.

Summary:
- E_tot: -6.425 eV/atom
- Space group: P4/mmm (123)

abc: 3.697 3.697 3.826
angles: 90.00 90.00 90.00
Atoms (fractional coordinates):
Co: 0.500 0.000 0.000
Co: 0.000 0.500 0.000
Tc: 0.000 0.000 0.500
Al: 0.500 0.500 0.500
H: 0.000 0.000 0.000

[4]
First-principles (PBE) data for a relaxed structure of Tl3Sb2Cl9, as listed in Alexandria via LeMat-Bulk.

Summary:
- Space group: R-3c (167)
- Formation energy from raw total energies: -0.9271 eV per atom

abc: 9.799 9.799 9.799
angles: 82.34 82.34 82.34
Atoms (fractional coordinates):
Tl: 0.750 0.042 0.458
Tl: 0.542 0.250 0.958
Tl: 0.250 0.958 0.542
Tl: 0.042 0.458 0.750
Tl: 0.958 0.542 0.250
Tl: 0.458 0.750 0.042
Cl: 0.750 0.575 0.925
Cl: 0.922 0.078 0.742
Cl: 0.078 0.922 0.258
Cl: 0.922 0.258 0.078
Cl: 0.575 0.925 0.750
Cl: 0.742 0.922 0.078
Cl: 0.242 0.578 0.422
Cl: 0.422 0.242 0.578
Cl: 0.250 0.425 0.075
Cl: 0.578 0.422 0.242
Cl: 0.578 0.758 0.422
Cl: 0.758 0.422 0.578
Cl: 0.258 0.078 0.922
Cl: 0.425 0.075 0.250
Cl: 0.422 0.578 0.758
Cl: 0.075 0.250 0.425
Cl: 0.925 0.750 0.575
Cl: 0.078 0.742 0.922
Sb: 0.849 0.849 0.849
Sb: 0.651 0.651 0.651
Sb: 0.349 0.349 0.349
Sb: 0.151 0.151 0.151

[5]
First-principles (PBE) data for a relaxed structure of YHfIr2, as listed in Alexandria via LeMat-Bulk.

Summary:
- Energy of formation: -0.36 eV/atom
- Space group: I-42d (122)

abc: 7.322 7.322 6.010
angles: 52.48 52.48 90.00
Atoms (fractional coordinates):
Hf: 0.750 0.250 0.500
Hf: 0.000 0.000 0.000
Ir: 0.375 0.353 0.750
Ir: 0.875 0.897 0.750
Ir: 0.647 0.125 0.250
Ir: 0.103 0.625 0.250
Y: 0.500 0.500 0.000
Y: 0.250 0.750 0.500

[6]
First-principles (PBE) data for a relaxed structure of ZrBeOs, as listed in Alexandria via LeMat-Bulk.

Summary:
- Energy of formation: -0.38 eV/atom
- Space group: Imma (74)
- Relative energy among the computed polymorphs: 0 meV per atom

abc: 5.017 4.995 4.995
angles: 62.56 59.85 59.85
Atoms (fractional coordinates):
Be: 0.000 0.000 0.000
Be: 0.500 0.000 0.000
Os: 0.500 0.500 0.000
Os: 0.500 0.000 0.500
Zr: 0.126 0.624 0.624
Zr: 0.874 0.376 0.376

[7]
First-principles (PBE) data for a relaxed structure of ThSiAu, as listed in Alexandria via LeMat-Bulk.

Summary:
- Space group: P-6m2 (187)
- Formation energy from raw total energies: -0.7692 eV per atom

abc: 4.305 4.304 12.551
angles: 90.00 90.00 120.00
Atoms (fractional coordinates):
Th: 0.495 0.989 0.332
Th: 0.495 0.989 0.668
Th: 0.495 0.989 0.000
Si: 0.828 0.656 0.838
Si: 0.828 0.656 0.162
Si: 0.162 0.323 0.500
Au: 0.161 0.323 0.170
Au: 0.161 0.323 0.830
Au: 0.828 0.656 0.500

[8]
First-principles (PBE) data for a relaxed structure of SrAl4Zn3, as listed in Alexandria via LeMat-Bulk.

Summary:
- Energy of formation: -0.16 eV/atom
- Space group: P4/mmm (123)

abc: 4.351 4.351 8.347
angles: 90.00 90.00 90.00
Atoms (fractional coordinates):
Zn: 0.500 0.500 0.349
Zn: 0.500 0.500 0.651
Zn: 0.000 0.000 0.000
Al: 0.500 0.000 0.827
Al: 0.000 0.500 0.827
Al: 0.000 0.500 0.173
Al: 0.500 0.000 0.173
Sr: 0.000 0.000 0.500

[9]
First-principles (PBE) data for a relaxed structure of Ti6Ga3C, as listed in Alexandria via LeMat-Bulk.

Summary:
- Energy of formation: -0.33 eV/atom
- Space group: C2/m (12)

abc: 6.029 5.572 5.572
angles: 60.69 80.51 80.51
Atoms (fractional coordinates):
Ga: 0.255 0.167 0.167
Ga: 0.000 0.000 0.000
Ga: 0.745 0.833 0.833
Ti: 0.171 0.646 0.646
Ti: 0.639 0.370 0.864
Ti: 0.639 0.864 0.370
Ti: 0.361 0.136 0.630
Ti: 0.361 0.630 0.136
Ti: 0.829 0.354 0.354
C: 0.500 0.500 0.500

[10]
First-principles (PBE) data for a relaxed structure of RbYMnRh2, as listed in Alexandria via LeMat-Bulk.

Summary:
- Energy of formation: 0.60 eV/atom
- Space group: P4/mmm (123)

abc: 4.688 5.064 4.688
angles: 90.00 90.00 90.00
Atoms (fractional coordinates):
Rh: 0.000 0.000 0.500
Rh: 0.500 0.000 0.000
Y: 0.000 0.500 0.000
Rb: 0.500 0.500 0.500
Mn: 0.000 0.000 0.000